Entry 1:
ErSc2Hg2 | GGA-PBE | optimized geometry

```
10
Lattice="3.5766 0.0000 -0.4800 0.0000 5.0491 0.0000 -0.0628 0.0000 13.1460" Properties=species:S:1:pos:R:3 pbc="T T T"
Er 3.0059 3.7869 8.8656
Er 0.5079 1.2623 3.8003
Sc 0.1687 3.7869 1.2597
Sc 3.3451 1.2623 11.4062
Sc 0.8223 3.7869 6.1537
Sc 2.6915 1.2623 6.5122
Hg 2.2954 3.7869 3.5604
Hg 1.2185 1.2623 9.1055
Hg 1.5744 3.7869 11.7704
Hg 1.9394 1.2623 0.8955
```

Results
The value obtained for the energy above the most stable polymorph in this dataset is 0 meV/atom. The energy of formation is -0.355 eV per atom. As for the space-group type: Cmcm.



Entry 2:
Sr3IrI | GGA-PBE | optimized geometry

```
10
Lattice="-3.4186 2.8375 -0.3372 -1.5640 -2.9693 -9.1306 -4.9113 -5.1252 6.6653" Properties=species:S:1:pos:R:3 pbc="T T T"
Sr -3.3112 -2.6809 -3.7078
Sr -6.5828 -2.5762 0.9053
Sr -4.4086 -3.0639 4.1960
Sr -3.2983 1.0210 -2.1239
Sr -5.4853 -2.1932 -6.9984
Sr -6.5957 -6.2781 -0.6785
Ir -3.6306 0.2730 -5.0503
Ir -6.2634 -5.5300 2.2478
I -6.7099 -3.1406 -2.5553
I -3.1841 -2.1165 -0.2472
```

Results
The value obtained for the uncorrected formation energy is -3.0 eV/f.u. The value obtained for the energy above the most stable polymorph in this dataset is 0 meV/atom. As for the space-group type: P2_1/m.



Entry 3:
Sb2HRuI | GGA-PBE | optimized geometry

```
5
Lattice="5.0303 0.0000 0.0000 0.0000 5.0303 0.0000 0.0000 0.0000 5.9205" Properties=species:S:1:pos:R:3 pbc="T T T"
I 0.0000 0.0000 2.9602
Sb 0.0000 2.5151 0.0000
Sb 2.5151 0.0000 0.0000
H 2.5151 2.5151 2.9602
Ru 0.0000 0.0000 0.0000
```

Results
The value obtained for the energy above the most stable polymorph in this dataset is 0 meV/atom. As for the space-group type: P4/mmm.



Entry 4:
K4NaBr5 | GGA-PBE | optimized geometry

```
10
Lattice="-3.4243 0.2546 3.1594 -2.4947 -3.0857 -2.4551 9.8124 -10.8191 8.0613" Properties=species:S:1:pos:R:3 pbc="T T T"
K 5.5078 -9.8332 6.7621
K 1.1728 -8.7931 5.4255
K 2.7205 -4.8570 3.3401
K -1.6144 -3.8169 2.0035
Na 0.0000 0.0000 0.0000
Br 1.2745 -2.2754 1.5647
Br -2.9595 -1.4155 0.3521
Br 2.6189 -11.3748 7.2009
Br 4.1259 -7.3661 5.0655
Br -0.2326 -6.2840 3.7001
```

Results
The value obtained for the uncorrected formation energy is -17.0 eV/f.u. The value obtained for the energy above the most stable polymorph in this dataset is 3 meV/atom. As for the space-group type: I4/mmm.



Entry 5:
Y2SiS4 | GGA-PBE | optimized geometry

```
7
Lattice="6.1626 0.0000 0.0000 0.0000 6.1626 0.0000 -3.0813 -3.0813 5.6623" Properties=species:S:1:pos:R:3 pbc="T T T"
Y 3.0813 0.0000 2.8312
Y 0.0000 3.0813 2.8312
Si 3.0813 3.0813 0.0000
S 4.5022 1.6604 1.3660
S 1.6604 4.5022 1.3660
S 1.4209 1.4209 4.2963
S -1.4209 -1.4209 4.2963
```

Results
The value obtained for the uncorrected formation energy is -7.9 eV/f.u. As for the space-group type: I-42m.



Entry 6:
TmHfAlCd | GGA-PBE | optimized geometry

```
4
Lattice="4.9722 0.0000 0.0000 2.4861 4.3060 0.0000 2.4861 1.4353 4.0598" Properties=species:S:1:pos:R:3 pbc="T T T"
Tm 2.4861 1.4353 1.0149
Hf 7.4583 4.3060 3.0448
Al 4.9722 2.8707 2.0299
Cd 0.0000 0.0000 0.0000
```

Results
The energy of formation is -0.168 eV per atom. As for the space-group type: F-43m.